A:
Zn2CdP | GGA-PBE | relaxed

The total magnetization comes out at 0.0 Bohr magnetons per cell. The space-group type is Fm-3m.

Cell and atoms, written as CIF:
```
data_Zn2CdP
_cell_length_a 4.6694
_cell_length_b 4.6694
_cell_length_c 4.6694
_cell_angle_alpha 60.00
_cell_angle_beta 60.00
_cell_angle_gamma 60.00
_space_group_name_H-M_alt 'P 1'
_space_group_IT_number 1
loop_
_space_group_symop_operation_xyz
'x,y,z'
loop_
_atom_site_label
_atom_site_type_symbol
_atom_site_fract_x
_atom_site_fract_y
_atom_site_fract_z
Cd1 Cd 0.5000 0.5000 0.5000
Zn1 Zn 0.2500 0.2500 0.2500
Zn2 Zn 0.7500 0.7500 0.7500
P1 P 0.0000 0.0000 0.0000
```

=====

B:
Zn2CdP | GGA-PBE | relaxed

The total magnetization comes out at 0.0 Bohr magnetons per cell. The space-group type is C2/m.

Cell and atoms, written as CIF:
```
data_Zn2CdP
_cell_length_a 5.4795
_cell_length_b 5.4795
_cell_length_c 5.3706
_cell_angle_alpha 66.66
_cell_angle_beta 66.66
_cell_angle_gamma 29.17
_space_group_name_H-M_alt 'P 1'
_space_group_IT_number 1
loop_
_space_group_symop_operation_xyz
'x,y,z'
loop_
_atom_site_label
_atom_site_type_symbol
_atom_site_fract_x
_atom_site_fract_y
_atom_site_fract_z
Cd1 Cd 0.0000 0.0000 0.5000
Zn1 Zn 0.2301 0.2301 0.7594
P1 P 0.5000 0.5000 0.0000
Zn2 Zn 0.7699 0.7699 0.2406
```

=====

Which of them is the least stable? Correct choice: A.

=====

A:
Zn2CdP | GGA-PBE | relaxed

The total magnetization comes out at 0.0 Bohr magnetons per cell. The space-group type is Pm.

Cell and atoms, written as CIF:
```
data_Zn2CdP
_cell_length_a 3.4706
_cell_length_b 3.6178
_cell_length_c 6.2935
_cell_angle_alpha 73.21
_cell_angle_beta 90.00
_cell_angle_gamma 90.00
_space_group_name_H-M_alt 'P 1'
_space_group_IT_number 1
loop_
_space_group_symop_operation_xyz
'x,y,z'
loop_
_atom_site_label
_atom_site_type_symbol
_atom_site_fract_x
_atom_site_fract_y
_atom_site_fract_z
P1 P 0.5000 0.9948 0.1367
Zn1 Zn 0.0000 0.5147 0.0977
Cd1 Cd 0.0000 0.7999 0.5240
Zn2 Zn 0.5000 0.1905 0.7416
```

=====

B:
Zn2CdP | GGA-PBE | relaxed

The total magnetization comes out at 0.0 Bohr magnetons per cell. The space-group type is Immm.

Cell and atoms, written as CIF:
```
data_Zn2CdP
_cell_length_a 5.0618
_cell_length_b 5.0618
_cell_length_c 5.0618
_cell_angle_alpha 136.54
_cell_angle_beta 125.46
_cell_angle_gamma 72.18
_space_group_name_H-M_alt 'P 1'
_space_group_IT_number 1
loop_
_space_group_symop_operation_xyz
'x,y,z'
loop_
_atom_site_label
_atom_site_type_symbol
_atom_site_fract_x
_atom_site_fract_y
_atom_site_fract_z
Zn1 Zn 0.7234 0.7234 0.0000
Zn2 Zn 0.2766 0.2766 0.0000
P1 P 0.5000 0.0000 0.5000
Cd1 Cd 0.0000 0.5000 0.5000
```

=====

Which of them is the least stable? Correct choice: B.

=====

A:
Zn3CdP | GGA-PBE | relaxed

The total magnetization comes out at 0.3 Bohr magnetons per cell. The space-group type is Pm-3m.

Cell and atoms, written as CIF:
```
data_Zn3CdP
_cell_length_a 4.9635
_cell_length_b 4.9635
_cell_length_c 4.9635
_cell_angle_alpha 90.00
_cell_angle_beta 90.00
_cell_angle_gamma 90.00
_space_group_name_H-M_alt 'P 1'
_space_group_IT_number 1
loop_
_space_group_symop_operation_xyz
'x,y,z'
loop_
_atom_site_label
_atom_site_type_symbol
_atom_site_fract_x
_atom_site_fract_y
_atom_site_fract_z
Cd1 Cd 0.0000 0.0000 0.0000
Zn1 Zn 0.5000 0.0000 0.0000
P1 P 0.5000 0.5000 0.5000
Zn2 Zn 0.0000 0.0000 0.5000
Zn3 Zn 0.0000 0.5000 0.0000
```

=====

B:
Zn3CdP | GGA-PBE | relaxed

The total magnetization comes out at 0.0 Bohr magnetons per cell. The space-group type is Pm-3m.

Cell and atoms, written as CIF:
```
data_Zn3CdP
_cell_length_a 4.7828
_cell_length_b 4.7828
_cell_length_c 4.7828
_cell_angle_alpha 90.00
_cell_angle_beta 90.00
_cell_angle_gamma 90.00
_space_group_name_H-M_alt 'P 1'
_space_group_IT_number 1
loop_
_space_group_symop_operation_xyz
'x,y,z'
loop_
_atom_site_label
_atom_site_type_symbol
_atom_site_fract_x
_atom_site_fract_y
_atom_site_fract_z
Zn1 Zn 0.0000 0.0000 0.5000
Zn2 Zn 0.5000 0.0000 0.0000
Cd1 Cd 0.5000 0.5000 0.5000
P1 P 0.0000 0.0000 0.0000
Zn3 Zn 0.0000 0.5000 0.0000
```

=====

Which of them is the least stable? Correct choice: A.